Entry from Alexandria: a PBEsol-optimized structure of AgIrRh2 (SCAN).

abc: 2.7122 2.7122 9.1075
angles: 81.44 81.44 60.00
Fractional positions:
Ag 0.4994 0.4994 0.5019
Ir 0.2543 0.2543 0.2372
Rh 0.0003 0.0003 0.9992
Rh 0.7461 0.7461 0.7617

As for the energy above the most stable polymorph in this dataset: 0.18 eV per formula unit. The electronic total energy comes out at -42.357 eV per atom. The value obtained for the total magnetic moment is 0.0 Bohr magnetons per cell. The calculation puts the formation energy from the elements at 0.146 eV/atom.


Entry from Alexandria: a PBEsol-optimized structure of AgIr2Rh (SCAN).

abc: 2.7117 3.8551 5.5117
angles: 90.00 90.00 90.00
Fractional positions:
Ag 0.5000 0.5000 0.5000
Ir 0.0000 0.0000 0.7615
Ir 0.0000 0.0000 0.2385
Rh 0.5000 0.5000 0.0000

As for the energy above the most stable polymorph in this dataset: 0.74 eV per formula unit. The electronic total energy comes out at -51.506 eV per atom. The value obtained for the total magnetic moment is 0.0 Bohr magnetons per cell. The calculation puts the formation energy from the elements at 0.328 eV/atom.


Entry from Alexandria: a PBEsol-optimized structure of AgIrRh2 (SCAN).

abc: 2.7050 4.7190 4.7190
angles: 108.90 90.00 90.00
Fractional positions:
Ag 0.5000 0.0000 0.0000
Ir 0.5000 0.5000 0.5000
Rh 0.0000 0.5000 0.0000
Rh 0.0000 0.0000 0.5000

As for the energy above the most stable polymorph in this dataset: 0.62 eV per formula unit. The electronic total energy comes out at -42.246 eV per atom. The value obtained for the total magnetic moment is 0.0 Bohr magnetons per cell. The calculation puts the formation energy from the elements at 0.256 eV/atom.


Entry from Alexandria: a PBEsol-optimized structure of Ag2IrRh (SCAN).

abc: 2.7667 3.8027 5.7999
angles: 90.00 90.00 90.00
Fractional positions:
Ag 0.0000 0.0000 0.0029
Ag 0.5000 0.5000 0.2478
Ir 0.0000 0.0000 0.5318
Rh 0.5000 0.5000 0.7175

The electronic total energy comes out at -41.652 eV per atom. The value obtained for the total magnetic moment is 0.0 Bohr magnetons per cell. The calculation puts the formation energy from the elements at 0.250 eV/atom.


Entry from Alexandria: a PBEsol-optimized structure of AgIr2Rh (SCAN).

abc: 2.7213 2.7213 9.1358
angles: 81.43 81.43 60.00
Fractional positions:
Ag 0.2494 0.2494 0.2518
Ir 0.0038 0.0038 0.9885
Ir 0.7503 0.7503 0.7490
Rh 0.4964 0.4964 0.5107

As for the energy above the most stable polymorph in this dataset: 0.00 eV per formula unit. The electronic total energy comes out at -51.692 eV per atom. The value obtained for the total magnetic moment is 0.0 Bohr magnetons per cell. The calculation puts the formation energy from the elements at 0.142 eV/atom.


Entry from Alexandria: a PBEsol-optimized structure of AgIrRh2 (SCAN).

abc: 2.7152 2.7152 7.7939
angles: 90.00 90.00 90.00
Fractional positions:
Ag 0.5000 0.5000 0.0000
Ir 0.5000 0.5000 0.5000
Rh 0.0000 0.0000 0.7331
Rh 0.0000 0.0000 0.2669

As for the energy above the most stable polymorph in this dataset: 0.00 eV per formula unit. The electronic total energy comes out at -42.401 eV per atom. The value obtained for the total magnetic moment is 0.0 Bohr magnetons per cell. The calculation puts the formation energy from the elements at 0.101 eV/atom.


Entry from Alexandria: a PBEsol-optimized structure of AgIr2Rh (SCAN).

abc: 2.6936 2.6976 9.3710
angles: 90.00 90.00 119.95
Fractional positions:
Ag 0.5000 0.0000 0.7479
Ir 0.0000 0.0000 0.0096
Ir 0.5000 0.0000 0.2513
Rh 0.0000 0.0000 0.4912

As for the energy above the most stable polymorph in this dataset: 0.74 eV per formula unit. The electronic total energy comes out at -51.508 eV per atom. The value obtained for the total magnetic moment is 0.0 Bohr magnetons per cell. The calculation puts the formation energy from the elements at 0.326 eV/atom.


Entry from Alexandria: a PBEsol-optimized structure of AgIrRh2 (SCAN).

abc: 2.7025 2.7025 7.8631
angles: 90.00 90.00 90.00
Fractional positions:
Ag 0.0000 0.0000 0.4984
Ir 0.5000 0.5000 0.7684
Rh 0.0000 0.0000 0.0002
Rh 0.5000 0.5000 0.2330

As for the energy above the most stable polymorph in this dataset: 0.35 eV per formula unit. The electronic total energy comes out at -42.313 eV per atom. The value obtained for the total magnetic moment is 0.0 Bohr magnetons per cell. The calculation puts the formation energy from the elements at 0.189 eV/atom.